(1)
LiZrAuSe3, relaxed, DFT PBE; offset from the most stable computed form = 0.000 eV per formula unit
1.0
7.605 0.000 0.000
0.000 3.868 0.000
-2.105 0.000 9.001
Li Zr Au Se
2 2 2 6
Direct
0.233 0.250 0.201
0.767 0.750 0.799
0.182 0.750 0.677
0.818 0.250 0.323
0.382 0.250 0.914
0.618 0.750 0.086
0.086 0.750 0.364
0.174 0.750 0.971
0.419 0.250 0.643
0.581 0.750 0.357
0.826 0.250 0.029
0.914 0.250 0.636

(2)
LiZrAuSe3, relaxed, DFT PBE; offset from the most stable computed form = 0.037 eV per formula unit
1.0
12.827 0.000 0.000
0.000 3.843 0.000
0.000 0.000 10.649
Li Zr Au Se
4 4 4 12
Direct
0.222 0.250 0.059
0.278 0.750 0.559
0.722 0.250 0.441
0.778 0.750 0.941
0.005 0.250 0.321
0.495 0.750 0.821
0.505 0.250 0.179
0.995 0.750 0.679
0.015 0.750 0.098
0.485 0.250 0.598
0.515 0.750 0.402
0.985 0.250 0.902
0.111 0.250 0.559
0.133 0.750 0.869
0.151 0.750 0.270
0.349 0.250 0.770
0.367 0.250 0.369
0.389 0.750 0.059
0.611 0.250 0.941
0.633 0.750 0.631
0.651 0.750 0.230
0.849 0.250 0.730
0.867 0.250 0.131
0.889 0.750 0.441

(3)
Entry from OQMD via LeMat-Bulk: LiZrAu3Se4 after structural relaxation (PBE).

The structure in POSCAR format:
```
LiZrAu3Se4
1.0
6.160 0.000 0.000
0.000 6.160 0.000
0.000 0.000 6.160
Li Zr Au Se
1 1 3 4
Direct
0.000 0.000 0.000
0.500 0.500 0.500
0.000 0.500 0.500
0.500 0.000 0.500
0.500 0.500 0.000
0.254 0.254 0.254
0.254 0.746 0.746
0.746 0.254 0.746
0.746 0.746 0.254
```

(4)
LiZrAuSe3, relaxed, DFT PBE; offset from the most stable computed form = 0.317 eV per formula unit
1.0
1.904 -6.631 0.000
1.904 6.631 0.000
0.000 0.000 10.399
Li Zr Au Se
2 2 2 6
Direct
0.216 0.784 0.750
0.784 0.216 0.250
0.000 0.000 0.000
0.000 0.000 0.500
0.460 0.540 0.250
0.540 0.460 0.750
0.100 0.900 0.250
0.356 0.644 0.045
0.356 0.644 0.455
0.644 0.356 0.545
0.644 0.356 0.955
0.900 0.100 0.750

(5)
Entry from OQMD via LeMat-Bulk: LiSiAu after structural relaxation (PBE).

The structure in POSCAR format:
```
LiSiAu
1.0
4.219 -3.239 0.000
4.219 3.239 0.000
-2.098 0.000 3.672
Li Si Au
2 2 2
Direct
0.000 0.000 0.000
0.577 0.577 0.076
0.183 0.552 0.366
0.552 0.183 0.366
0.430 0.962 0.695
0.962 0.430 0.695
```

(6)
Entry from OQMD via LeMat-Bulk: Li2Si2Au after structural relaxation (PBE).

The structure in POSCAR format:
```
Li2Si2Au
1.0
6.247 0.000 0.000
0.000 6.247 0.000
0.000 0.000 4.168
Li Si Au
4 4 2
Direct
0.164 0.336 0.000
0.336 0.836 0.000
0.664 0.164 0.000
0.836 0.664 0.000
0.130 0.630 0.500
0.370 0.130 0.500
0.630 0.870 0.500
0.870 0.370 0.500
0.000 0.000 0.500
0.500 0.500 0.500
```

(7)
Entry from OQMD via LeMat-Bulk: LiSiAu after structural relaxation (PBE).

The structure in POSCAR format:
```
LiSiAu
1.0
-2.117 3.246 3.655
2.117 -3.246 3.655
2.117 3.246 -3.655
Li Si Au
2 2 2
Direct
0.000 0.000 0.000
0.583 0.083 0.500
0.031 0.715 0.316
0.399 0.715 0.684
0.153 0.387 0.767
0.620 0.387 0.233
```

(8)
Entry from OQMD via LeMat-Bulk: LiSiAu after structural relaxation (PBE).

The structure in POSCAR format:
```
LiSiAu
1.0
0.000 2.952 2.952
2.952 0.000 2.952
2.952 2.952 0.000
Li Si Au
1 1 1
Direct
0.000 0.000 0.000
0.500 0.500 0.500
0.250 0.250 0.250
```

| no. | energy (eV for the cell shown) |
| --- | --- |
| 1 | -59.68 |
| 2 | -119.22 |
| 3 | -39.80 |
| 4 | -59.05 |
| 5 | -23.53 |
| 6 | -39.24 |
| 7 | -23.53 |
| 8 | -11.34 |